# 1
Material: TlPt7
Method: DFT, PBE
State: optimized geometry

Cell: 2.8537 2.8537 43.8048 Å, 90.00 90.00 90.00°
Element x y z (fractional)
Tl 0.2500 0.2500 0.1596
Tl 0.7500 0.7500 0.8404
Pt 0.2500 0.2500 0.2588
Pt 0.2500 0.2500 0.3466
Pt 0.2500 0.2500 0.4342
Pt 0.2500 0.2500 0.5220
Pt 0.2500 0.2500 0.6096
Pt 0.2500 0.2500 0.6971
Pt 0.2500 0.2500 0.7865
Pt 0.7500 0.7500 0.2135
Pt 0.7500 0.7500 0.3029
Pt 0.7500 0.7500 0.3904
Pt 0.7500 0.7500 0.4780
Pt 0.7500 0.7500 0.5658
Pt 0.7500 0.7500 0.6534
Pt 0.7500 0.7500 0.7412

The calculation puts the energy above the most stable polymorph in this dataset at 0.20 eV per formula unit. As for the magnetization: 0.0 μB per formula unit.

***

# 2
Material: RbCdB
Method: DFT, PBE
State: optimized geometry

Cell: 5.1646 5.1646 5.1646 Å, 60.00 60.00 60.00°
Element x y z (fractional)
Rb 0.0000 0.0000 0.0000
Cd 0.7500 0.7500 0.7500
B 0.5000 0.5000 0.5000

The calculation puts the energy above the most stable polymorph in this dataset at 0.63 eV per formula unit.

***

# 3
Material: RbNbB
Method: DFT, PBE
State: optimized geometry

Cell: 4.5580 4.5580 4.5580 Å, 60.00 60.00 60.00°
Element x y z (fractional)
Rb 0.0000 0.0000 0.0000
Nb 0.2500 0.2500 0.2500
B 0.7500 0.7500 0.7500

The calculation puts the energy above the most stable polymorph in this dataset at 3.00 eV per formula unit. As for the magnetization: 1.3 μB per formula unit.

***

# 4
Material: LaURe
Method: DFT, PBE
State: optimized geometry

Cell: 4.8239 4.8239 4.8239 Å, 60.00 60.00 60.00°
Element x y z (fractional)
La 0.0000 0.0000 0.0000
U 0.5000 0.5000 0.5000
Re 0.7500 0.7500 0.7500

The value obtained for the formation energy from the elements is 0.6184 eV/atom. The calculation puts the energy above the most stable polymorph in this dataset at 0.00 eV per formula unit. As for the magnetization: 2.4 μB per formula unit.

***

# 5
Material: HfCoCuSn
Method: DFT, PBE
State: optimized geometry

Cell: 4.5035 4.5035 4.5035 Å, 60.00 60.00 60.00°
Element x y z (fractional)
Hf 0.0000 0.0000 0.0000
Co 0.5000 0.5000 0.5000
Cu 0.7500 0.7500 0.7500
Sn 0.2500 0.2500 0.2500

The calculation puts the energy above the most stable polymorph in this dataset at 1.27 eV per formula unit. As for the magnetization: 0.3 μB per formula unit.

***

# 6
Material: BaPrTlTe3
Method: DFT, PBE
State: optimized geometry

Cell: 8.2101 8.2101 11.9452 Å, 90.00 90.00 146.33°
Element x y z (fractional)
Ba 0.2403 0.7597 0.7500
Ba 0.7597 0.2403 0.2500
Pr 0.0000 0.0000 0.0000
Pr 0.0000 0.0000 0.5000
Tl 0.4706 0.5294 0.2500
Tl 0.5294 0.4706 0.7500
Te 0.1001 0.8999 0.2500
Te 0.3551 0.6449 0.0316
Te 0.3551 0.6449 0.4684
Te 0.6449 0.3551 0.5316
Te 0.6449 0.3551 0.9684
Te 0.8999 0.1001 0.7500

As for the magnetization: 0.0 μB per formula unit.

***

no.,energy (eV for the cell shown)
1,-88.44
2,-3.99
3,-8.40
4,-26.79
5,-24.63
6,-50.11